1.
Compound: BaCaBr2
Source: Alexandria via LeMat-Bulk
Functional: GGA-PBE
Structure: optimized geometry

The polymorph energy (0 for the lowest one) is 0.081 eV per atom. Its formation energy (no corrections) is -1.3629 eV/atom. The total magnetic moment comes out at 0.000 μB per atom. The calculation puts the uncorrected energy at -3.1804 eV per atom.

a b c (Å): 6.442 6.442 6.442
angles (deg): 141.91 112.52 80.21
Atoms (fractional coordinates):
Ca 0.750 0.250 0.500
Br 0.956 0.956 0.000
Br 0.544 0.544 0.000
Ba 0.250 0.750 0.500

---

2.
Compound: LiYS
Source: Alexandria via LeMat-Bulk
Functional: GGA-PBE
Structure: optimized geometry

Its formation energy (no corrections) is -1.0943 eV/atom. The total magnetic moment comes out at 0.000 μB per atom. The calculation puts the uncorrected energy at -5.2628 eV per atom.

a b c (Å): 4.641 4.641 8.047
angles (deg): 73.24 73.24 60.00
Atoms (fractional coordinates):
Li 0.178 0.178 0.467
Li 0.822 0.822 0.533
Y 0.406 0.406 0.783
Y 0.594 0.594 0.217
S 0.717 0.717 0.848
S 0.283 0.283 0.152

---

3.
Compound: TiGaFe3
Source: Alexandria via LeMat-Bulk
Functional: GGA-PBE
Structure: optimized geometry

As for the formation energy: 46 kJ/mol of formula units. The polymorph energy (0 for the lowest one) is 0.000 eV per atom. The total magnetic moment comes out at 0.939 μB per atom. The calculation puts the uncorrected energy at -7.1670 eV per atom.

a b c (Å): 4.682 4.566 6.896
angles (deg): 90.00 109.85 90.00
Atoms (fractional coordinates):
Ga 0.427 0.750 0.853
Ga 0.573 0.250 0.147
Fe 0.127 0.250 0.738
Fe 0.000 0.000 0.000
Fe 0.873 0.750 0.262
Fe 0.389 0.750 0.262
Fe 0.611 0.250 0.738
Fe 0.000 0.500 0.000
Ti 0.199 0.250 0.398
Ti 0.801 0.750 0.602

---

4.
Compound: Pr6Te5Br
Source: Alexandria via LeMat-Bulk
Functional: GGA-PBE
Structure: optimized geometry

Its formation energy (no corrections) is -1.3790 eV/atom. The total magnetic moment comes out at 0.000 μB per atom. The calculation puts the uncorrected energy at -5.2172 eV per atom.

a b c (Å): 7.816 9.135 7.809
angles (deg): 107.16 99.31 125.39
Atoms (fractional coordinates):
Te 0.325 0.325 0.651
Te 0.000 0.500 0.000
Te 0.675 0.675 0.349
Te 0.347 0.847 0.694
Te 0.653 0.153 0.306
Pr 0.827 0.094 0.650
Pr 0.518 0.277 0.000
Pr 0.173 0.906 0.350
Pr 0.177 0.444 0.350
Pr 0.482 0.723 0.000
Pr 0.823 0.556 0.650
Br 0.000 0.000 0.000

---

5.
Compound: SnOs3N
Source: Alexandria via LeMat-Bulk
Functional: GGA-PBE
Structure: optimized geometry

The polymorph energy (0 for the lowest one) is 3.260 eV per atom. Its formation energy (no corrections) is 4.0287 eV/atom. The total magnetic moment comes out at 1.083 μB per atom. The calculation puts the uncorrected energy at -5.1748 eV per atom.

a b c (Å): 4.890 4.890 4.890
angles (deg): 90.00 90.00 90.00
Atoms (fractional coordinates):
Os 0.000 0.000 0.500
Os 0.500 0.000 0.000
Os 0.000 0.500 0.000
Sn 0.000 0.000 0.000
N 0.500 0.500 0.500

---

6.
Compound: AlSiIr
Source: Alexandria via LeMat-Bulk
Functional: GGA-PBE
Structure: optimized geometry

Its formation energy (no corrections) is -0.2912 eV/atom. The total magnetic moment comes out at 0.000 μB per atom. The calculation puts the uncorrected energy at -6.3000 eV per atom.

a b c (Å): 4.045 4.045 4.045
angles (deg): 60.00 60.00 60.00
Atoms (fractional coordinates):
Ir 0.500 0.500 0.500
Al 0.000 0.000 0.000
Si 0.750 0.750 0.750

---

7.
Compound: Nd2InSn3
Source: Alexandria via LeMat-Bulk
Functional: GGA-PBE
Structure: optimized geometry

As for the formation energy: -178 kJ/mol of formula units. The total magnetic moment comes out at 0.000 μB per atom. The calculation puts the uncorrected energy at -4.3539 eV per atom.

a b c (Å): 5.821 8.291 8.291
angles (deg): 110.28 90.00 90.00
Atoms (fractional coordinates):
Sn 0.000 0.816 0.184
Sn 0.500 0.816 0.184
Sn 0.250 0.425 0.425
Sn 0.500 0.184 0.816
Sn 0.000 0.184 0.816
Sn 0.750 0.575 0.575
Nd 0.750 0.451 0.164
Nd 0.750 0.164 0.451
Nd 0.250 0.549 0.836
Nd 0.250 0.836 0.549
In 0.750 0.877 0.877
In 0.250 0.123 0.123

---

8.
Compound: AcZn3Pt3
Source: Alexandria via LeMat-Bulk
Functional: GGA-PBE
Structure: optimized geometry

As for the formation energy: -391 kJ/mol of formula units. The total magnetic moment comes out at 0.000 μB per atom. The calculation puts the uncorrected energy at -4.3004 eV per atom.

a b c (Å): 4.272 8.980 8.980
angles (deg): 120.00 90.00 90.00
Atoms (fractional coordinates):
Zn 0.250 0.704 0.949
Zn 0.750 0.296 0.051
Zn 0.250 0.051 0.755
Zn 0.750 0.755 0.704
Zn 0.250 0.245 0.296
Zn 0.750 0.949 0.245
Pt 0.250 0.378 0.949
Pt 0.250 0.051 0.429
Pt 0.750 0.949 0.571
Pt 0.750 0.429 0.378
Pt 0.750 0.622 0.051
Pt 0.250 0.571 0.622
Ac 0.250 0.667 0.333
Ac 0.750 0.333 0.667

---

9.
Compound: InPIr
Source: Alexandria via LeMat-Bulk
Functional: GGA-PBE
Structure: optimized geometry

As for the formation energy: -7 kJ/mol of formula units. The total magnetic moment comes out at 0.000 μB per atom. The calculation puts the uncorrected energy at -5.6924 eV per atom.

a b c (Å): 6.742 6.742 2.969
angles (deg): 77.28 77.28 25.44
Atoms (fractional coordinates):
Ir 0.303 0.303 0.697
In 0.989 0.989 0.011
P 0.708 0.708 0.292

---

10.
Compound: LaNd2Sb
Source: Alexandria via LeMat-Bulk
Functional: GGA-PBE
Structure: optimized geometry

The polymorph energy (0 for the lowest one) is 0.000 eV per atom. Its formation energy (no corrections) is -0.5895 eV/atom. The total magnetic moment comes out at 0.143 μB per atom. The calculation puts the uncorrected energy at -5.2359 eV per atom.

a b c (Å): 4.226 6.558 10.228
angles (deg): 90.00 90.00 108.80
Atoms (fractional coordinates):
Nd 0.360 0.721 0.960
Nd 0.640 0.279 0.040
Nd 0.640 0.279 0.460
Nd 0.360 0.721 0.540
Sb 0.235 0.470 0.250
Sb 0.765 0.530 0.750
La 0.058 0.117 0.750
La 0.942 0.883 0.250

---

11.
Compound: NaSbO2
Source: Alexandria via LeMat-Bulk
Functional: GGA-PBE
Structure: optimized geometry

Its formation energy (no corrections) is -1.0164 eV/atom. The total magnetic moment comes out at 0.000 μB per atom. The calculation puts the uncorrected energy at -4.8559 eV per atom.

a b c (Å): 6.868 6.868 6.868
angles (deg): 29.60 29.60 29.60
Atoms (fractional coordinates):
O 0.108 0.108 0.108
O 0.892 0.892 0.892
Na 0.000 0.000 0.000
Sb 0.500 0.500 0.500

---

12.
Compound: Cd3MoAu
Source: Alexandria via LeMat-Bulk
Functional: GGA-PBE
Structure: optimized geometry

As for the formation energy: 458 kJ/mol of formula units. The polymorph energy (0 for the lowest one) is 0.000 eV per atom. The total magnetic moment comes out at 0.919 μB per atom. The calculation puts the uncorrected energy at -2.4215 eV per atom.

a b c (Å): 5.219 5.219 5.219
angles (deg): 90.00 90.00 90.00
Atoms (fractional coordinates):
Au 0.000 0.000 0.000
Cd 0.000 0.500 0.000
Cd 0.000 0.000 0.500
Cd 0.500 0.000 0.000
Mo 0.500 0.500 0.500

---

Q: What is the formula in the second record?
A: LiYS

---

Please write out number 8 again, unchanged.
Compound: AcZn3Pt3
Source: Alexandria via LeMat-Bulk
Functional: GGA-PBE
Structure: optimized geometry

As for the formation energy: -391 kJ/mol of formula units. The total magnetic moment comes out at 0.000 μB per atom. The calculation puts the uncorrected energy at -4.3004 eV per atom.

a b c (Å): 4.272 8.980 8.980
angles (deg): 120.00 90.00 90.00
Atoms (fractional coordinates):
Zn 0.250 0.704 0.949
Zn 0.750 0.296 0.051
Zn 0.250 0.051 0.755
Zn 0.750 0.755 0.704
Zn 0.250 0.245 0.296
Zn 0.750 0.949 0.245
Pt 0.250 0.378 0.949
Pt 0.250 0.051 0.429
Pt 0.750 0.949 0.571
Pt 0.750 0.429 0.378
Pt 0.750 0.622 0.051
Pt 0.250 0.571 0.622
Ac 0.250 0.667 0.333
Ac 0.750 0.333 0.667